# 1
{
  "formula": "LaPr7Er12",
  "functional": "PBE",
  "state": "optimized geometry",
  "lattice_angstrom": [[6.478, 3.740, 4.591], [-6.478, 3.740, 4.591], [0.000, -7.480, 4.591]],
  "species": ["La", "Pr", "Pr", "Pr", "Pr", "Pr", "Pr", "Pr", "Er", "Er", "Er", "Er", "Er", "Er", "Er", "Er", "Er", "Er", "Er", "Er"],
  "frac_coords": [[0.000, 0.000, 0.000], [0.023, 0.358, 0.091], [0.091, 0.023, 0.358], [0.358, 0.091, 0.023], [0.500, 0.500, 0.500], [0.642, 0.909, 0.977], [0.909, 0.977, 0.642], [0.977, 0.642, 0.909], [0.151, 0.497, 0.423], [0.177, 0.317, 0.745], [0.255, 0.823, 0.683], [0.317, 0.745, 0.177], [0.423, 0.151, 0.497], [0.497, 0.423, 0.151], [0.503, 0.577, 0.849], [0.577, 0.849, 0.503], [0.683, 0.255, 0.823], [0.745, 0.177, 0.317], [0.823, 0.683, 0.255], [0.849, 0.503, 0.577]],
  "sg": "No. 148",
  "polymorph_energy_mev_per_atom": 0,
  "total_energy_ev_per_atom": -4.365
}

# 2
{
  "formula": "PmEr2Hg6",
  "functional": "PBE",
  "state": "optimized geometry",
  "lattice_angstrom": [[7.215, -5.862, 0.000], [7.215, 5.862, 0.000], [-0.946, 0.000, 5.360]],
  "species": ["Pm", "Pm", "Er", "Er", "Er", "Er", "Hg", "Hg", "Hg", "Hg", "Hg", "Hg", "Hg", "Hg", "Hg", "Hg", "Hg", "Hg"],
  "frac_coords": [[0.127, 0.873, 0.750], [0.873, 0.127, 0.250], [0.209, 0.458, 0.915], [0.458, 0.209, 0.415], [0.542, 0.791, 0.585], [0.791, 0.542, 0.085], [0.013, 0.757, 0.195], [0.100, 0.352, 0.362], [0.243, 0.987, 0.305], [0.323, 0.568, 0.470], [0.352, 0.100, 0.862], [0.432, 0.677, 0.030], [0.568, 0.323, 0.970], [0.648, 0.900, 0.138], [0.677, 0.432, 0.530], [0.757, 0.013, 0.695], [0.900, 0.648, 0.638], [0.987, 0.243, 0.805]],
  "sg": "No. 15",
  "polymorph_energy_mev_per_atom": 0,
  "total_energy_ev_per_atom": -2.135
}

# 3
{
  "formula": "NbPb3F",
  "functional": "PBE",
  "state": "optimized geometry",
  "lattice_angstrom": [[4.984, 0.000, 0.000], [0.000, 4.984, 0.000], [0.000, 0.000, 4.984]],
  "species": ["Nb", "Pb", "Pb", "Pb", "F"],
  "frac_coords": [[0.000, 0.000, 0.000], [0.000, 0.500, 0.500], [0.500, 0.000, 0.500], [0.500, 0.500, 0.000], [0.500, 0.500, 0.500]],
  "e_form_raw_ev_per_atom": 0.04,
  "sg": "No. 221",
  "polymorph_energy_mev_per_atom": 11,
  "total_energy_ev_per_atom": -4.572
}